! SrGd2Tc GGA-PBE optimized geometry; values from VASP
! E above lowest polymorph = 24.6 kJ/mol of atoms
! space-group type = R-3m, No. 166
! total moment = 3.618 μB per atom
! uncorrected energy = -9.738 eV per atom
! formation energy = 0.31 eV/atom
! N(E_F) = 4.5 states/eV/f.u.
&SYSTEM
  ibrav = 0, nat = 4, ntyp = 3
/
ATOMIC_SPECIES
Gd 157.25 Gd.upf
Tc 98.00 Tc.upf
Sr 87.62 Sr.upf
CELL_PARAMETERS angstrom
-0.950 2.834 -2.078
-0.340 -0.416 -3.601
-11.113 -1.813 -0.583
ATOMIC_POSITIONS angstrom
Gd -7.628 -0.959 -1.010
Gd -4.774 1.563 -5.251
Tc -6.201 0.302 -3.131
Sr 0.000 0.000 0.000